1.
# SCAN BeZn2Se, PBEsol geometry
data_BeZn2Se
_cell_length_a 3.2748
_cell_length_b 3.3445
_cell_length_c 11.2453
_cell_angle_alpha 90.00
_cell_angle_beta 90.00
_cell_angle_gamma 90.00
_symmetry_space_group_name_H-M 'I m m m'
_symmetry_Int_Tables_number 71
_symmetry_space_group_name_Hall '-I 2 2'
loop_
_atom_site_label
_atom_site_fract_x
_atom_site_fract_y
_atom_site_fract_z
_atom_site_occupancy
Be1 0.0000 0.0000 0.0000 1
Zn1 0.0000 0.5000 0.2999 1
Se1 0.0000 0.0000 0.5000 1
# DOS(E_F)   1.971 states/eV per cell
# E   -12.737 eV/atom
# E above lowest polymorph   21 meV/atom
# Magnetic moment   0.00 Bohr magnetons per cell
# ΔE_f (raw)   0.129 eV per atom

---

2.
# SCAN Zr2BeSe, PBEsol geometry
data_Zr2BeSe
_cell_length_a 6.5139
_cell_length_b 6.5139
_cell_length_c 6.5139
_cell_angle_alpha 90.00
_cell_angle_beta 90.00
_cell_angle_gamma 90.00
_symmetry_space_group_name_H-M 'F -4 3 m'
_symmetry_Int_Tables_number 216
_symmetry_space_group_name_Hall 'F -4 2 3'
loop_
_atom_site_label
_atom_site_fract_x
_atom_site_fract_y
_atom_site_fract_z
_atom_site_occupancy
Zr1 0.0000 0.0000 0.0000 1
Zr2 0.2500 0.2500 0.2500 1
Be1 0.2500 0.2500 0.7500 1
Se1 0.0000 0.0000 0.5000 1
# DOS(E_F)   17.711 states/eV per cell
# E   -21.105 eV/atom
# E above lowest polymorph   799 meV/atom
# Magnetic moment   0.00 Bohr magnetons per cell
# ΔE_f (raw)   0.353 eV per atom

---

3.
# SCAN ZrBeSe2, PBEsol geometry
data_ZrBeSe2
_cell_length_a 3.3646
_cell_length_b 6.1899
_cell_length_c 7.3005
_cell_angle_alpha 90.00
_cell_angle_beta 90.00
_cell_angle_gamma 90.00
_symmetry_space_group_name_H-M 'C m m m'
_symmetry_Int_Tables_number 65
_symmetry_space_group_name_Hall '-C 2 2'
loop_
_atom_site_label
_atom_site_fract_x
_atom_site_fract_y
_atom_site_fract_z
_atom_site_occupancy
Zr1 0.0000 0.0000 0.0000 1
Be1 0.0000 0.0000 0.5000 1
Se1 0.0000 0.5000 0.2861 1
# DOS(E_F)   4.669 states/eV per cell
# E   -19.175 eV/atom
# Magnetic moment   0.00 Bohr magnetons per cell
# ΔE_f (raw)   -0.373 eV per atom

---

4.
# SCAN Zr4BeSe, PBEsol geometry
data_Zr4BeSe
_cell_length_a 7.8846
_cell_length_b 7.8846
_cell_length_c 7.8846
_cell_angle_alpha 90.00
_cell_angle_beta 90.00
_cell_angle_gamma 90.00
_symmetry_space_group_name_H-M 'F -4 3 m'
_symmetry_Int_Tables_number 216
_symmetry_space_group_name_Hall 'F -4 2 3'
loop_
_atom_site_label
_atom_site_fract_x
_atom_site_fract_y
_atom_site_fract_z
_atom_site_occupancy
Zr1 0.1229 0.1229 0.1229 1
Be1 0.2500 0.2500 0.7500 1
Se1 0.0000 0.0000 0.5000 1
# DOS(E_F)   25.002 states/eV per cell
# E   -23.982 eV/atom
# Magnetic moment   0.00 Bohr magnetons per cell
# ΔE_f (raw)   0.556 eV per atom